1.
VASP calculation (PBE-GGA) on a relaxed MgPbBr2 crystal.

```
data_MgPbBr2
_space_group_name_H-M_alt 'I 4/m m m'
_space_group_IT_number 139
_space_group_name_Hall '-I 4 2'
_cell_length_a 5.0718
_cell_length_b 5.0718
_cell_length_c 8.8461
_cell_angle_alpha 90.00
_cell_angle_beta 90.00
_cell_angle_gamma 90.00
loop_
_atom_site_label
_atom_site_fract_x
_atom_site_fract_y
_atom_site_fract_z
Mg1 0.0000 0.0000 0.0000
Pb1 0.0000 0.0000 0.5000
Br1 0.0000 0.5000 0.2500
```

Calculated values
Energy relative to the lowest polymorph listed for this composition = 0.543 eV per atom
Calculated volume = 228 Å³ per cell
Formation energy without anion corrections = -0.371 eV/atom

2.
VASP calculation (PBE-GGA) on a relaxed Tb5YTm6 crystal.

```
data_Tb5YTm6
_space_group_name_H-M_alt 'I m m m'
_space_group_IT_number 71
_space_group_name_Hall '-I 2 2'
_cell_length_a 5.7153
_cell_length_b 7.4310
_cell_length_c 17.7087
_cell_angle_alpha 90.00
_cell_angle_beta 90.00
_cell_angle_gamma 90.00
loop_
_atom_site_label
_atom_site_fract_x
_atom_site_fract_y
_atom_site_fract_z
Tb1 0.0000 0.0000 0.0000
Tb2 0.0000 0.0000 0.3484
Tb3 0.0000 0.5000 0.3470
Y1 0.0000 0.5000 0.0000
Tm1 0.0000 0.2498 0.1806
Tm2 0.0000 0.2523 0.5000
```

Calculated values
Energy relative to the lowest polymorph listed for this composition = 0.091 eV per atom
Calculated volume = 752 Å³ per cell
Energy of formation = 2.61 kcal/mol of atoms

3.
VASP calculation (PBE-GGA) on a relaxed TaNiIr2 crystal.

```
data_TaNiIr2
_space_group_name_H-M_alt 'I -4 m 2'
_space_group_IT_number 119
_space_group_name_Hall 'I -4 -2'
_cell_length_a 3.8252
_cell_length_b 3.8252
_cell_length_c 7.9126
_cell_angle_alpha 90.00
_cell_angle_beta 90.00
_cell_angle_gamma 90.00
loop_
_atom_site_label
_atom_site_fract_x
_atom_site_fract_y
_atom_site_fract_z
Ta1 0.0000 0.0000 0.0000
Ni1 0.0000 0.5000 0.7500
Ir1 0.0000 0.0000 0.5000
Ir2 0.0000 0.5000 0.2500
```

Calculated values
Calculated volume = 116 Å³ per cell
Energy of formation = -9.76 kcal/mol of atoms